Record 1
DFT (PBE-GGA) results for Dy3Mg3AlCdIn after structural relaxation.

Lattice parameters (Å, degrees): 7.4811 7.4811 4.5848 90.00 90.00 120.00
Space group P-6 (No. 174)
Unique sites:
1 Dy 0.0081 0.5760 0.0000 x3
2 Mg 0.0048 0.2459 0.5000 x3
3 Al 0.3333 0.6667 0.5000 x1
4 Cd 0.0000 0.0000 0.0000 x1
5 In 0.6667 0.3333 0.5000 x1

- Calculated volume: 24.7 Å³ per atom
- Uncorrected energy: -3.210 eV per atom



Record 2
DFT (PBE-GGA) results for ErSeF after structural relaxation.

Lattice parameters (Å, degrees): 9.8345 4.0346 18.6506 90.00 90.00 90.00
Space group Pnma (No. 62)
Unique sites:
1 Er 0.0771 0.2500 0.0817 x4
2 Er 0.0912 0.2500 0.4168 x4
3 Er 0.2438 0.7500 0.2413 x4
4 Se 0.0031 0.7500 0.3226 x4
5 Se 0.1642 0.7500 0.8419 x4
6 Se 0.1664 0.7500 0.5143 x4
7 F 0.0267 0.7500 0.0271 x4
8 F 0.1286 0.7500 0.1387 x4
9 F 0.2009 0.2500 0.1950 x4

- Calculated volume: 20.6 Å³ per atom
- Uncorrected energy: -6.167 eV per atom



Record 3
DFT (PBE-GGA) results for AlCdRe2 after structural relaxation.

Lattice parameters (Å, degrees): 6.3080 6.3080 6.3080 90.00 90.00 90.00
Space group F-43m (No. 216)
Unique sites:
1 Al 0.0000 0.0000 0.0000 x4
2 Cd 0.2500 0.2500 0.2500 x4
3 Re 0.0000 0.0000 0.5000 x4
4 Re 0.2500 0.2500 0.7500 x4

- Calculated volume: 15.7 Å³ per atom
- Uncorrected energy: -7.018 eV per atom



Record 4
DFT (PBE-GGA) results for SrCdSiAu2 after structural relaxation.

Lattice parameters (Å, degrees): 4.4614 4.4614 11.6518 90.00 90.00 90.00
Space group I-4m2 (No. 119)
Unique sites:
1 Sr 0.0000 0.0000 0.0000 x2
2 Cd 0.0000 0.5000 0.7500 x2
3 Si 0.0000 0.5000 0.2500 x2
4 Au 0.0000 0.0000 0.3814 x4

- Calculated volume: 23.2 Å³ per atom
- Uncorrected energy: -3.293 eV per atom



Record 5
DFT (PBE-GGA) results for Er4Cu2SnGe4 after structural relaxation.

Lattice parameters (Å, degrees): 15.4871 4.2268 7.1203 90.00 108.28 90.00
Space group C2/m (No. 12)
Unique sites:
1 Er 0.0890 0.0000 0.3822 x4
2 Er 0.1510 0.0000 0.9308 x4
3 Cu 0.2169 0.5000 0.6306 x4
4 Sn 0.0000 0.5000 0.0000 x2
5 Ge 0.0633 0.5000 0.6593 x4
6 Ge 0.1999 0.5000 0.2497 x4

- Calculated volume: 20.1 Å³ per atom
- Uncorrected energy: -5.056 eV per atom



Record 6
DFT (PBE-GGA) results for Dy2Al3Hg3 after structural relaxation.

Lattice parameters (Å, degrees): 4.8625 6.4507 11.0468 90.00 90.00 90.00
Space group Amm2 (No. 38)
Unique sites:
1 Dy 0.0000 0.0000 0.0000 x2
2 Dy 0.5000 0.0000 0.3375 x2
3 Al 0.0000 0.2217 0.7504 x4
4 Al 0.5000 0.0000 0.8238 x2
5 Hg 0.0000 0.0000 0.5046 x2
6 Hg 0.5000 0.2490 0.0971 x4

- Calculated volume: 21.7 Å³ per atom
- E above lowest polymorph: 4 meV per atom



Record 7
DFT (PBE-GGA) results for PrLuNb after structural relaxation.

Lattice parameters (Å, degrees): 7.2271 7.2271 7.2271 90.00 90.00 90.00
Space group F-43m (No. 216)
Unique sites:
1 Pr 0.0000 0.0000 0.0000 x4
2 Lu 0.0000 0.0000 0.5000 x4
3 Nb 0.2500 0.2500 0.7500 x4

- Calculated volume: 31.5 Å³ per atom
- E above lowest polymorph: 0 meV per atom
- Formation energy: 0.818 eV/atom



Record 8
DFT (PBE-GGA) results for PuZnPb after structural relaxation.

Lattice parameters (Å, degrees): 7.1137 7.1137 7.1137 90.00 90.00 90.00
Space group F-43m (No. 216)
Unique sites:
1 Pu 0.0000 0.0000 0.0000 x4
2 Zn 0.2500 0.2500 0.7500 x4
3 Pb 0.2500 0.2500 0.2500 x4

- Calculated volume: 30.0 Å³ per atom
- Uncorrected energy: -6.091 eV per atom



Q: The lowest calculated volume belongs to which entry?
A: AlCdRe2